(1)
A geometry-optimized K2Hf3TlS8 structure. Source: Alexandria via LeMat-Bulk, functional GGA-PBE.

Computed properties:
Formation energy from raw total energies (meV per atom): -1326
Raw total energy (eV per atom): -6.143
Calculated density (Mg/m³): 4.5

a = 7.6487 Å, b = 7.6487 Å, c = 23.6914 Å
α = 90.00°, β = 90.00°, γ = 120.00°
Space group R3m (No. 160, hexagonal axes)
Unique sites:
K 0.0000 0.0000 0.0000 x3
K 0.0000 0.0000 0.3484 x3
Hf 0.1682 0.3364 0.1885 x9
Tl 0.0000 0.0000 0.8353 x3
S 0.0000 0.0000 0.1294 x3
S 0.0000 0.0000 0.5821 x3
S 0.0415 0.5207 0.1245 x9
S 0.1748 0.3495 0.9117 x9

***

(2)
A geometry-optimized LiTi4RhS8 structure. Source: Alexandria via LeMat-Bulk, functional GGA-PBE.

Computed properties:
Formation energy from raw total energies (meV per atom): -1129
Raw total energy (eV per atom): -6.405
Calculated density (Mg/m³): 3.5

a = 7.1906 Å, b = 7.1906 Å, c = 17.5541 Å
α = 90.00°, β = 90.00°, γ = 120.00°
Space group R3m (No. 160, hexagonal axes)
Unique sites:
Li 0.0000 0.0000 0.0000 x3
Ti 0.0000 0.0000 0.2455 x3
Ti 0.1808 0.3617 0.4564 x9
Rh 0.0000 0.0000 0.6431 x3
S 0.0000 0.0000 0.3804 x3
S 0.0000 0.0000 0.8721 x3
S 0.0044 0.5022 0.3831 x9
S 0.1840 0.3679 0.2140 x9

***

> What is the formation energy from raw total energies in the second record?

-1129 meV per atom

***

> Among the records above, which one has the highest raw total energy?

K2Hf3TlS8

***

> What is the formula in the first record?

K2Hf3TlS8